Entry 1:
A relaxed structure of NdYCuPd. Source: Alexandria via LeMat-Bulk, functional PBE.

Unit cell a=5.039 b=5.039 c=5.039 alpha=60.00 beta=60.00 gamma=60.00
Positions (direct):
1 Nd 0.000 0.000 0.000
2 Y 0.500 0.500 0.500
3 Cu 0.250 0.250 0.250
4 Pd 0.750 0.750 0.750

Properties
- Energy relative to the elements: -0.495 eV/atom
- Density: 7.4 Mg/m³

Entry 2:
A relaxed structure of NdZnCuPd3. Source: Alexandria via LeMat-Bulk, functional PBE.

Unit cell a=7.121 b=7.121 c=5.809 alpha=90.00 beta=90.00 gamma=132.30
Positions (direct):
1 Nd 0.180 0.820 0.750
2 Nd 0.820 0.180 0.250
3 Zn 0.131 0.869 0.250
4 Zn 0.869 0.131 0.750
5 Cu 0.387 0.613 0.750
6 Cu 0.613 0.387 0.250
7 Pd 0.245 0.245 0.000
8 Pd 0.245 0.245 0.500
9 Pd 0.334 0.666 0.250
10 Pd 0.666 0.334 0.750
11 Pd 0.755 0.755 0.000
12 Pd 0.755 0.755 0.500

Properties
- Energy relative to the elements: -0.385 eV/atom
- Density: 9.0 Mg/m³

Entry 3:
A relaxed structure of Nd2Zn2CuPd5. Source: Alexandria via LeMat-Bulk, functional PBE.

Unit cell a=9.751 b=9.751 c=3.805 alpha=90.00 beta=90.00 gamma=90.00
Positions (direct):
1 Nd 0.179 0.321 0.000
2 Nd 0.321 0.821 0.000
3 Nd 0.679 0.179 0.000
4 Nd 0.821 0.679 0.000
5 Zn 0.120 0.620 0.000
6 Zn 0.380 0.120 0.000
7 Zn 0.620 0.880 0.000
8 Zn 0.880 0.380 0.000
9 Cu 0.000 0.000 0.000
10 Cu 0.500 0.500 0.000
11 Pd 0.000 0.500 0.500
12 Pd 0.063 0.800 0.500
13 Pd 0.200 0.063 0.500
14 Pd 0.300 0.563 0.500
15 Pd 0.437 0.300 0.500
16 Pd 0.500 0.000 0.500
17 Pd 0.563 0.700 0.500
18 Pd 0.700 0.437 0.500
19 Pd 0.800 0.937 0.500
20 Pd 0.937 0.200 0.500

Properties
- Energy relative to the elements: -0.545 eV/atom
- Density: 9.3 Mg/m³

Entry 4:
A relaxed structure of NdZn5Cu2Pd. Source: Alexandria via LeMat-Bulk, functional PBE.

Unit cell a=4.689 b=4.689 c=7.071 alpha=90.00 beta=90.00 gamma=90.00
Positions (direct):
1 Nd 0.000 0.000 0.000
2 Zn 0.000 0.500 0.302
3 Zn 0.000 0.500 0.698
4 Zn 0.500 0.000 0.302
5 Zn 0.500 0.000 0.698
6 Zn 0.500 0.500 0.000
7 Cu 0.500 0.500 0.333
8 Cu 0.500 0.500 0.667
9 Pd 0.000 0.000 0.500

Properties
- Energy relative to the elements: -0.145 eV/atom
- Density: 7.5 Mg/m³

> The lowest density belongs to which entry?

NdYCuPd

> Look up the density of the third one.

9.3 Mg/m³